Entry from Alexandria: Mo2WF2 after structural relaxation (GGA+U).

```
data_Mo2WF2
_cell_length_a 6.6514
_cell_length_b 6.6514
_cell_length_c 6.6514
_cell_angle_alpha 151.16
_cell_angle_beta 151.16
_cell_angle_gamma 41.25
_space_group_name_H-M_alt 'P 1'
_space_group_IT_number 1
loop_
_space_group_symop_operation_xyz
'x,y,z'
loop_
_atom_site_label
_atom_site_fract_x
_atom_site_fract_y
_atom_site_fract_z
Mo1 0.1192 0.1192 0.0000
Mo2 0.8808 0.8808 0.0000
W1 0.5000 0.5000 0.0000
F1 0.2500 0.7500 0.5000
F2 0.7500 0.2500 0.5000
```

Summary:
Spin magnetization (μB per cell): 0.00
Total DFT energy (no corrections) (eV/atom): -5.20